# 1
This record from the Alexandria database describes a relaxed structure of Pd2IBr. The functional is PBE-GGA.

## Properties
energy above the lowest structure with this stoichiometry = 0.000 eV/atom
formation energy (no corrections) = 73 meV/atom
M_tot = 0.00 Bohr magnetons per cell

Geometry as POSCAR:
```
Pd2IBr
1.0
-6.002 1.229 -0.064
-0.656 -2.929 5.341
-2.313 4.264 5.567
Br I Pd
2 2 4
Cartesian
-3.149 0.243 6.774 Br
-3.329 -0.850 2.639 Br
0.000 0.000 0.000 I
-5.822 2.322 4.071 I
-1.746 -0.609 4.722 Pd
-4.232 2.557 6.161 Pd
-4.404 1.467 2.020 Pd
-7.560 1.714 8.787 Pd
```

---

# 2
This record from the Alexandria database describes a relaxed structure of Pd3IBr. The functional is PBE-GGA.

## Properties
energy above the lowest structure with this stoichiometry = 0.000 eV/atom
formation energy (no corrections) = 478 meV/atom
M_tot = 0.00 Bohr magnetons per cell

Geometry as POSCAR:
```
Pd3IBr
1.0
4.903 0.000 0.000
0.000 4.903 0.000
0.000 0.000 4.903
Pd Br I
3 1 1
Cartesian
0.000 2.452 0.000 Pd
0.000 0.000 2.452 Pd
2.452 0.000 0.000 Pd
0.000 0.000 0.000 Br
2.452 2.452 2.452 I
```

---

# 3
This record from the Alexandria database describes a relaxed structure of PdI6Br. The functional is PBE-GGA.

## Properties
formation energy (no corrections) = -40 meV/atom
M_tot = 0.00 Bohr magnetons per cell

Geometry as POSCAR:
```
PdI6Br
1.0
9.792 -2.154 1.560
3.022 10.538 0.809
5.817 3.333 5.037
Pd I Br
1 6 1
Cartesian
0.000 0.000 0.000 Pd
6.733 5.024 3.142 I
4.974 10.977 2.625 I
10.923 12.035 5.198 I
7.708 -0.319 2.207 I
11.898 6.693 4.264 I
13.657 0.740 4.781 I
9.316 5.858 3.703 Br
```

---

# 4
This record from the Alexandria database describes a relaxed structure of Pr6Pd2I3Br. The functional is PBE-GGA.

## Properties
formation energy (no corrections) = -914 meV/atom
M_tot = 0.00 Bohr magnetons per cell

Geometry as POSCAR:
```
Pr6Pd2I3Br
1.0
-1.232 2.569 7.070
4.122 -6.322 -1.074
5.532 5.545 -2.416
Pr I Pd Br
6 3 2 1
Cartesian
5.638 3.220 4.041 Pr
0.854 1.775 2.473 Pr
5.304 3.354 -0.175 Pr
2.783 -1.428 -0.461 Pr
7.567 0.017 1.107 Pr
3.118 -1.562 3.755 Pr
6.041 -2.143 -0.994 I
2.381 3.935 4.574 I
4.211 0.896 1.790 I
0.547 -0.386 4.363 Pd
2.342 -3.367 1.633 Pd
0.000 0.000 0.000 Br
```

---

# 5
This record from the Alexandria database describes a relaxed structure of Rb2PdI2Br4. The functional is PBE-GGA.

## Properties
formation energy (no corrections) = -879 meV/atom
M_tot = 0.00 Bohr magnetons per cell

Geometry as POSCAR:
```
Rb2PdI2Br4
1.0
-1.432 -7.121 2.503
6.974 1.472 -2.866
0.418 5.630 5.210
Br I Pd Rb
4 2 1 2
Cartesian
1.893 4.695 3.393 Br
4.942 1.588 3.194 Br
5.499 2.408 -1.049 Br
1.019 -1.606 1.654 Br
5.486 5.271 1.739 I
1.907 1.832 0.605 I
0.000 0.000 0.000 Pd
4.619 -1.049 0.405 Rb
1.341 1.030 4.443 Rb
```

---

# 6
This record from the Alexandria database describes a relaxed structure of RbPdI2Br. The functional is PBE-GGA.

## Properties
formation energy (no corrections) = -743 meV/atom
M_tot = 0.00 Bohr magnetons per cell

Geometry as POSCAR:
```
RbPdI2Br
1.0
-1.512 0.950 -5.337
5.276 -1.014 -1.675
-1.182 -5.181 -0.587
I Rb Pd Br
2 1 1 1
Cartesian
2.638 -0.507 -0.838 I
-0.756 0.475 -2.668 I
1.291 -2.622 -3.800 Rb
0.000 0.000 0.000 Pd
-0.591 -2.590 -0.294 Br
```